# 1
DFT (PBE) results for a geometry-optimized FeCo2Se structure.

a = 3.0237 Å, b = 3.0237 Å, c = 5.5842 Å
α = 90.00°, β = 90.00°, γ = 90.00°
Last column: nearest neighbours and their distance in Å.
Fractional coordinates of all 4 atoms:
Fe: 0.0000 0.0000 0.0000  8 Co 2.52, 2 Se 2.79
Co: 0.5000 0.5000 0.2387  4 Fe 2.52, 4 Se 2.59, 1 Co 2.67
Co: 0.5000 0.5000 0.7613  4 Fe 2.52, 4 Se 2.59, 1 Co 2.67
Se: 0.0000 0.0000 0.5000  8 Co 2.59, 2 Fe 2.79

Results
The calculation puts the formation energy without anion corrections at 0.155 eV/atom.



# 2
DFT (PBE) results for a geometry-optimized Sn4AsAu3 structure.

a = 8.2101 Å, b = 11.5259 Å, c = 4.0546 Å
α = 90.00°, β = 90.00°, γ = 90.00°
Last column: nearest neighbours and their distance in Å.
Fractional coordinates of all 16 atoms:
Sn: 0.0000 0.2485 0.0000  1 As 2.86, 5 Au 2.89-2.90
Sn: 0.0000 0.7515 0.0000  1 As 2.86, 5 Au 2.89-2.90
Sn: 0.2498 0.0000 0.5000  4 Au 2.88-2.89, 2 As 2.88
Sn: 0.2502 0.5000 0.5000  4 Au 2.88-2.89, 2 As 2.88
Sn: 0.5000 0.2515 0.0000  1 As 2.86, 5 Au 2.89-2.90
Sn: 0.5000 0.7485 0.0000  1 As 2.86, 5 Au 2.89-2.90
Sn: 0.7502 0.0000 0.5000  4 Au 2.88-2.89, 2 As 2.88
Sn: 0.7498 0.5000 0.5000  4 Au 2.88-2.89, 2 As 2.88
As: 0.0000 0.0000 0.0000  6 Sn 2.86-2.88
As: 0.5000 0.5000 0.0000  6 Sn 2.86-2.88
Au: 0.0000 0.5000 0.0000  6 Sn 2.89-2.90
Au: 0.2500 0.2500 0.5000  6 Sn 2.88-2.89
Au: 0.2500 0.7500 0.5000  6 Sn 2.88-2.89
Au: 0.5000 0.0000 0.0000  6 Sn 2.89-2.90
Au: 0.7500 0.2500 0.5000  6 Sn 2.88-2.89
Au: 0.7500 0.7500 0.5000  6 Sn 2.88-2.89

Results
The value obtained for the formation energy is -0.121 eV/atom.



# 3
DFT (PBE) results for a geometry-optimized MgPa2Al structure.

a = 3.0679 Å, b = 3.0679 Å, c = 35.0757 Å
α = 90.00°, β = 90.00°, γ = 120.00°
Last column: nearest neighbours and their distance in Å.
Fractional coordinates of all 12 atoms:
Mg: 0.0000 0.0000 0.0000  6 Mg 3.07, 2 Pa 3.24
Mg: 0.3333 0.6667 0.6667  6 Mg 3.07, 2 Pa 3.24
Mg: 0.6667 0.3333 0.3333  6 Mg 3.07, 2 Pa 3.24
Pa: 0.0000 0.0000 0.0923  6 Pa 3.07, 3 Al 3.15, 1 Mg 3.24
Pa: 0.0000 0.0000 0.9077  6 Pa 3.07, 3 Al 3.15, 1 Mg 3.24
Pa: 0.3333 0.6667 0.5744  6 Pa 3.07, 3 Al 3.15, 1 Mg 3.24
Pa: 0.3333 0.6667 0.7589  6 Pa 3.07, 3 Al 3.15, 1 Mg 3.24
Pa: 0.6667 0.3333 0.2411  6 Pa 3.07, 3 Al 3.15, 1 Mg 3.24
Pa: 0.6667 0.3333 0.4256  6 Pa 3.07, 3 Al 3.15, 1 Mg 3.24
Al: 0.0000 0.0000 0.5000  6 Al 3.07, 6 Pa 3.15
Al: 0.3333 0.6667 0.1667  6 Al 3.07, 6 Pa 3.15
Al: 0.6667 0.3333 0.8333  6 Al 3.07, 6 Pa 3.15

Results
The value obtained for the formation energy is 0.182 eV/atom.



# 4
DFT (PBE) results for a geometry-optimized Na5TaS4Cl2 structure.

a = 8.1078 Å, b = 6.6335 Å, c = 6.6335 Å
α = 118.08°, β = 90.00°, γ = 90.00°
Last column: nearest neighbours and their distance in Å.
Fractional coordinates of all 12 atoms:
Na: 0.0000 0.0000 0.0000  2 Cl 2.67, 2 S 2.75
Na: 0.2520 0.3185 0.7080  2 Cl 2.74-2.89, 3 S 2.85-3.02
Na: 0.2520 0.7080 0.3185  2 Cl 2.74-2.89, 3 S 2.85-3.02
Na: 0.7480 0.3185 0.7080  2 Cl 2.74-2.89, 3 S 2.85-3.02
Na: 0.7480 0.7080 0.3185  2 Cl 2.74-2.89, 3 S 2.85-3.02
Ta: 0.5000 0.0406 0.0406  4 S 2.29-2.30
S: 0.2729 0.2396 0.2396  1 Ta 2.29
S: 0.5000 0.9999 0.6768  1 Ta 2.30
S: 0.5000 0.6768 0.9999  1 Ta 2.30
S: 0.7271 0.2396 0.2396  1 Ta 2.29
Cl: 0.0000 0.5861 0.9732  5 Na 2.67-2.89
Cl: 0.0000 0.9732 0.5861  5 Na 2.67-2.89

Results
The calculation puts the formation energy without anion corrections at -1.348 eV/atom.



# 5
DFT (PBE) results for a geometry-optimized Nd2TmIn2Hg2 structure.

a = 9.7749 Å, b = 9.7749 Å, c = 9.7749 Å
α = 29.09°, β = 29.09°, γ = 29.09°
Last column: nearest neighbours and their distance in Å.
Fractional coordinates of all 7 atoms:
Nd: 0.1270 0.1270 0.1270  3 In 3.22, 3 Hg 3.52, 1 Tm 3.57, 3 Nd 3.60
Nd: 0.8730 0.8730 0.8730  3 In 3.22, 3 Hg 3.52, 1 Tm 3.57, 3 Nd 3.60
Tm: 0.0000 0.0000 0.0000  6 Hg 3.20, 6 In 3.49, 2 Nd 3.57
In: 0.2607 0.2607 0.2607  3 Hg 2.89, 3 Nd 3.22
In: 0.7393 0.7393 0.7393  3 Hg 2.89, 3 Nd 3.22
Hg: 0.3859 0.3859 0.3859  3 In 2.89, 3 Tm 3.20
Hg: 0.6141 0.6141 0.6141  3 In 2.89, 3 Tm 3.20

Results
The value obtained for the formation energy is -0.284 eV/atom.



# 6
DFT (PBE) results for a geometry-optimized YFe4Co4 structure.

a = 5.8778 Å, b = 5.8778 Å, c = 5.8778 Å
α = 97.03°, β = 97.03°, γ = 139.06°
Last column: nearest neighbours and their distance in Å.
Fractional coordinates of all 9 atoms:
Y: 0.0000 0.0000 0.0000  8 Co 2.97, 4 Fe 3.02
Fe: 0.0892 0.6221 0.7113  4 Co 2.32-2.42, 1 Fe 2.35
Fe: 0.3779 0.0892 0.4671  4 Co 2.32-2.42, 1 Fe 2.35
Fe: 0.6221 0.9108 0.5329  4 Co 2.32-2.42, 1 Fe 2.35
Fe: 0.9108 0.3779 0.2887  4 Co 2.32-2.42, 1 Fe 2.35
Co: 0.2609 0.3635 0.6244  4 Fe 2.32-2.42
Co: 0.3635 0.7391 0.1026  4 Fe 2.32-2.42
Co: 0.6365 0.2609 0.8974  4 Fe 2.32-2.42
Co: 0.7391 0.6365 0.3756  4 Fe 2.32-2.42

Results
The value obtained for the formation energy is 0.148 eV/atom.



Energy: -25.540, -62.926, -70.802, -54.825, -22.072, -67.409 (eV/cell)
Density of states at the Fermi level: 2.75, 4.70, 7.34, 0.00, 4.32, 9.12 (states/eV/f.u.)